(1)
The following is a PBE-GGA calculation of a relaxed BaScTl2Sb crystal, from the Alexandria database.

Computed properties:
Formation energy from raw total energies: 503.8 kJ/mol of formula units
Space group: P4/mmm, No. 123
Crystal system: tetragonal

a b c (Å): 6.1337 5.7545 6.1337
angles (deg): 90.00 90.00 90.00
Closest atoms and distances in Å follow each position.
Positions (direct):
Sc (0.0000, 0.5000, 0.0000)  2 Ba 2.88
Ba (0.0000, 0.0000, 0.0000)  2 Sc 2.88, 4 Tl 3.07
Sb (0.5000, 0.5000, 0.5000)  8 Tl 4.21, 4 Sc 4.34
Tl (0.0000, 0.0000, 0.5000)  2 Ba 3.07
Tl (0.5000, 0.0000, 0.0000)  2 Ba 3.07

(2)
The following is a PBE-GGA calculation of a relaxed BaAl2Ag crystal, from the Alexandria database.

Computed properties:
Space group: P2/m, No. 10
Crystal system: monoclinic
Energy relative to the elements: -0.08 eV per atom

a b c (Å): 4.6484 4.7439 5.4630
angles (deg): 76.47 90.00 90.00
Closest atoms and distances in Å follow each position.
Positions (direct):
Al (0.0000, 0.9694, 0.8573)  2 Al 2.62-2.65, 2 Ag 2.67
Ag (0.5000, 0.7500, 0.7500)  4 Al 2.67
Al (0.0000, 0.5306, 0.6427)  2 Al 2.62-2.65, 2 Ag 2.67
Ba (0.5000, 0.2500, 0.2500)  2 Ag 3.17

(3)
The following is a PBE-GGA calculation of a relaxed CsSrSbI2 crystal, from the Alexandria database.

Computed properties:
Formation energy from raw total energies: -74.9 kJ/mol of formula units
Space group: P4/mmm, No. 123
Crystal system: tetragonal

a b c (Å): 6.7354 6.7354 6.4216
angles (deg): 90.00 90.00 90.00
Closest atoms and distances in Å follow each position.
Positions (direct):
Sb (0.0000, 0.0000, 0.5000)  2 Cs 3.21
Sr (0.5000, 0.5000, 0.5000)  8 I 4.65, 4 Sb 4.76
I (0.0000, 0.5000, 0.0000)  2 Cs 3.37
Cs (0.0000, 0.0000, 0.0000)  2 Sb 3.21, 4 I 3.37
I (0.5000, 0.0000, 0.0000)  2 Cs 3.37

no.,spin magnetization (μB/atom)
1,0.0002
2,0.0000
3,0.2059